Entry from Alexandria via LeMat-Bulk: LuRh4Au after structural relaxation (PBE).

Properties
Electronic total energy: -6.543 eV/atom

a = 5.219 Å, b = 5.219 Å, c = 5.219 Å
α = 60.00°, β = 60.00°, γ = 60.00°
Sites, in units of the cell vectors:
Lu1 0.000 0.000 0.000
Rh1 0.126 0.625 0.625
Rh2 0.625 0.126 0.625
Rh3 0.625 0.625 0.126
Rh4 0.625 0.625 0.625
Au1 0.250 0.250 0.250